## MnSbH2 (GGA-PBE)

Data for MnSbH2 after structural relaxation.

Output
Raw total energy, eV per atom: -4.659
DOS(E_F), states/eV/cell: 5.66
E above lowest polymorph, eV/f.u.: 0.00

```
data_MnSbH2
_space_group_name_H-M_alt 'I 41/a m d'
_space_group_IT_number 141
_cell_length_a 4.2469
_cell_length_b 4.2469
_cell_length_c 10.7183
_cell_angle_alpha 90.00
_cell_angle_beta 90.00
_cell_angle_gamma 90.00
loop_
_space_group_symop_operation_xyz
'x,y,z'
'-x,-y,-z'
'-y+1/4,x+3/4,z+1/4'
'y+1/4,-x+3/4,-z+1/4'
'-x+1/2,-y,z+1/2'
'x+1/2,y,-z+1/2'
'y+1/4,-x+1/4,z+3/4'
'-y+1/4,x+1/4,-z+3/4'
'x,-y,-z'
'-x,y,z'
'-y+1/4,-x+1/4,-z+3/4'
'y+1/4,x+1/4,z+3/4'
'-x+1/2,y,-z+1/2'
'x+1/2,-y,z+1/2'
'y+1/4,x+3/4,-z+1/4'
'-y+1/4,-x+3/4,z+1/4'
'x+1/2,y+1/2,z+1/2'
'-x+1/2,-y+1/2,-z+1/2'
'-y+3/4,x+1/4,z+3/4'
'y+3/4,-x+1/4,-z+3/4'
'-x,-y+1/2,z'
'x,y+1/2,-z'
'y+3/4,-x+3/4,z+1/4'
'-y+3/4,x+3/4,-z+1/4'
'x+1/2,-y+1/2,-z+1/2'
'-x+1/2,y+1/2,z+1/2'
'-y+3/4,-x+3/4,-z+1/4'
'y+3/4,x+3/4,z+1/4'
'-x,y+1/2,-z'
'x,-y+1/2,z'
'y+3/4,x+1/4,-z+3/4'
'-y+3/4,-x+1/4,z+3/4'
loop_
_atom_site_label
_atom_site_type_symbol
_atom_site_fract_x
_atom_site_fract_y
_atom_site_fract_z
_atom_site_occupancy
Mn1 Mn 0.0000 0.2500 0.3750 1
Sb1 Sb 0.0000 0.2500 0.8750 1
H1 H 0.0000 0.0000 0.5000 1
```